The following is a GGA-PBE calculation of Tm5Co4Ge10 after structural relaxation, from OQMD.

Cell lengths 12.6639, 12.6639, 4.1519 Å; angles 90.00, 90.00, 90.00 degrees
Fractional coordinates of all 38 atoms:
Tm1 0.0000 0.0000 0.0000
Tm2 0.1105 0.3895 0.5000
Tm3 0.1767 0.6767 0.5000
Tm4 0.3233 0.1767 0.5000
Tm5 0.3895 0.8895 0.5000
Tm6 0.5000 0.5000 0.0000
Tm7 0.6105 0.1105 0.5000
Tm8 0.6767 0.8233 0.5000
Tm9 0.8233 0.3233 0.5000
Tm10 0.8895 0.6105 0.5000
Co1 0.0249 0.7547 0.0000
Co2 0.2453 0.0249 0.0000
Co3 0.2547 0.5249 0.0000
Co4 0.4751 0.2547 0.0000
Co5 0.5249 0.7453 0.0000
Co6 0.7453 0.4751 0.0000
Co7 0.7547 0.9751 0.0000
Co8 0.9751 0.2453 0.0000
Ge1 0.0035 0.8346 0.5000
Ge2 0.0695 0.5695 0.0000
Ge3 0.1554 0.1986 0.0000
Ge4 0.1654 0.0035 0.5000
Ge5 0.1986 0.8446 0.0000
Ge6 0.3014 0.3446 0.0000
Ge7 0.3346 0.5035 0.5000
Ge8 0.3446 0.6986 0.0000
Ge9 0.4305 0.0695 0.0000
Ge10 0.4965 0.3346 0.5000
Ge11 0.5035 0.6654 0.5000
Ge12 0.5695 0.9305 0.0000
Ge13 0.6554 0.3014 0.0000
Ge14 0.6654 0.4965 0.5000
Ge15 0.6986 0.6554 0.0000
Ge16 0.8014 0.1554 0.0000
Ge17 0.8346 0.9965 0.5000
Ge18 0.8446 0.8014 0.0000
Ge19 0.9305 0.4305 0.0000
Ge20 0.9965 0.1654 0.5000

Output
Crystal system ... tetragonal


The following is a GGA-PBE calculation of Zr4ZnB3 after structural relaxation, from OQMD.

Cell lengths 3.4514, 3.4514, 25.5634 Å; angles 90.00, 90.00, 120.00 degrees
Fractional coordinates of all 16 atoms:
Zr1 0.0000 0.0000 0.1633
Zr2 0.0000 0.0000 0.3367
Zr3 0.0000 0.0000 0.6633
Zr4 0.0000 0.0000 0.8367
Zr5 0.3333 0.6667 0.0566
Zr6 0.3333 0.6667 0.4434
Zr7 0.6667 0.3333 0.5566
Zr8 0.6667 0.3333 0.9434
Zn1 0.3333 0.6667 0.2500
Zn2 0.6667 0.3333 0.7500
B1 0.0000 0.0000 0.0000
B2 0.0000 0.0000 0.5000
B3 0.3333 0.6667 0.6143
B4 0.3333 0.6667 0.8857
B5 0.6667 0.3333 0.1143
B6 0.6667 0.3333 0.3857

Output
Crystal system ... hexagonal


One value per record, in order, for total energy: -218.61; -116.33 eV per cell.